(1)
# TeOs2W | Alexandria via LeMat-Bulk | PBEsol | relaxed
data_TeOs2W
_chemical_formula_sum 'Te1 Os2 W1'
_space_group_name_H-M_alt 'P 1'
_space_group_IT_number 1
_cell_length_a 2.980
_cell_length_b 4.568
_cell_length_c 4.684
_cell_angle_alpha 90.00
_cell_angle_beta 90.00
_cell_angle_gamma 90.00
loop_
_space_group_symop_operation_xyz
'x,y,z'
loop_
_atom_site_label
_atom_site_type_symbol
_atom_site_fract_x
_atom_site_fract_y
_atom_site_fract_z
Os1 Os 0.000 0.000 0.000
Os2 Os 0.500 0.000 0.500
Te1 Te 0.500 0.500 0.000
W1 W 0.000 0.500 0.500
# Formation energy without anion corrections   761 meV per atom
# N(E_F)   0.79 states/eV/atom
# Spin magnetization   0.00 μB per cell

=====

(2)
# ReRuW | Alexandria via LeMat-Bulk | PBEsol | relaxed
data_ReRuW
_chemical_formula_sum 'Re1 Ru1 W1'
_space_group_name_H-M_alt 'P 1'
_space_group_IT_number 1
_cell_length_a 2.737
_cell_length_b 2.737
_cell_length_c 6.764
_cell_angle_alpha 90.00
_cell_angle_beta 90.00
_cell_angle_gamma 120.00
loop_
_space_group_symop_operation_xyz
'x,y,z'
loop_
_atom_site_label
_atom_site_type_symbol
_atom_site_fract_x
_atom_site_fract_y
_atom_site_fract_z
Re1 Re 0.000 0.000 0.990
Ru1 Ru 0.333 0.667 0.670
W1 W 0.667 0.333 0.340
# N(E_F)   1.08 states/eV/atom
# Spin magnetization   0.00 μB per cell
# Formation energy   0.166 eV per atom

=====

(3)
# CoNi3Ru | Alexandria via LeMat-Bulk | PBEsol | relaxed
data_CoNi3Ru
_chemical_formula_sum 'Co1 Ni3 Ru1'
_space_group_name_H-M_alt 'P 1'
_space_group_IT_number 1
_cell_length_a 4.336
_cell_length_b 4.336
_cell_length_c 4.336
_cell_angle_alpha 90.00
_cell_angle_beta 90.00
_cell_angle_gamma 90.00
loop_
_space_group_symop_operation_xyz
'x,y,z'
loop_
_atom_site_label
_atom_site_type_symbol
_atom_site_fract_x
_atom_site_fract_y
_atom_site_fract_z
Ru1 Ru 0.000 0.000 0.000
Co1 Co 0.500 0.500 0.500
Ni1 Ni 0.000 0.500 0.000
Ni2 Ni 0.000 0.000 0.500
Ni3 Ni 0.500 0.000 0.000
# N(E_F)   2.34 states/eV/atom
# Spin magnetization   2.96 μB per cell
# Formation energy   1.797 eV per atom

=====

(4)
# Rb2CaBiP | Alexandria via LeMat-Bulk | PBEsol | relaxed
data_Rb2CaBiP
_chemical_formula_sum 'Rb2 Ca1 Bi1 P1'
_space_group_name_H-M_alt 'P 1'
_space_group_IT_number 1
_cell_length_a 5.059
_cell_length_b 6.921
_cell_length_c 6.921
_cell_angle_alpha 90.00
_cell_angle_beta 90.00
_cell_angle_gamma 90.00
loop_
_space_group_symop_operation_xyz
'x,y,z'
loop_
_atom_site_label
_atom_site_type_symbol
_atom_site_fract_x
_atom_site_fract_y
_atom_site_fract_z
P1 P 0.500 0.000 0.000
Ca1 Ca 0.000 0.000 0.000
Bi1 Bi 0.500 0.500 0.500
Rb1 Rb 0.000 0.000 0.500
Rb2 Rb 0.000 0.500 0.000
# N(E_F)   0.83 states/eV/atom
# Spin magnetization   1.83 μB per cell
# Formation energy   0.320 eV per atom

=====

(5)
# LiV4P3O12 | Alexandria via LeMat-Bulk | PBEsol | relaxed
data_LiV4P3O12
_chemical_formula_sum 'Li2 V8 P6 O24'
_space_group_name_H-M_alt 'P 1'
_space_group_IT_number 1
_cell_length_a 6.667
_cell_length_b 6.667
_cell_length_c 10.460
_cell_angle_alpha 108.58
_cell_angle_beta 108.58
_cell_angle_gamma 90.00
loop_
_space_group_symop_operation_xyz
'x,y,z'
loop_
_atom_site_label
_atom_site_type_symbol
_atom_site_fract_x
_atom_site_fract_y
_atom_site_fract_z
Li1 Li 0.750 0.250 0.500
Li2 Li 0.500 0.500 0.000
V1 V 0.625 0.629 0.750
V2 V 0.227 0.227 0.454
V3 V 0.371 0.875 0.250
V4 V 0.125 0.121 0.750
V5 V 0.773 0.773 0.546
V6 V 0.023 0.523 0.046
V7 V 0.477 0.977 0.954
V8 V 0.879 0.375 0.250
P1 P 0.000 0.000 0.000
P2 P 0.125 0.522 0.750
P3 P 0.625 0.228 0.750
P4 P 0.772 0.875 0.250
P5 P 0.250 0.750 0.500
P6 P 0.478 0.375 0.250
O1 O 0.764 0.909 0.913
O2 O 0.334 0.660 0.789
O3 O 0.916 0.622 0.711
O4 O 0.378 0.204 0.289
O5 O 0.725 0.440 0.881
O6 O 0.525 0.308 0.619
O7 O 0.094 0.310 0.619
O8 O 0.156 0.442 0.881
O9 O 0.910 0.084 0.289
O10 O 0.091 0.851 0.087
O11 O 0.560 0.844 0.119
O12 O 0.796 0.090 0.711
O13 O 0.454 0.128 0.789
O14 O 0.692 0.906 0.381
O15 O 0.254 0.899 0.413
O16 O 0.101 0.841 0.587
O17 O 0.149 0.004 0.913
O18 O 0.872 0.666 0.211
O19 O 0.340 0.546 0.211
O20 O 0.486 0.746 0.587
O21 O 0.159 0.514 0.413
O22 O 0.690 0.475 0.381
O23 O 0.558 0.275 0.119
O24 O 0.996 0.236 0.087
# Formation energy without anion corrections   -2000 meV per atom
# Spin magnetization   24.00 μB per cell
# Energy above the lowest structure with this stoichiometry   0.000 eV/atom

=====

(6)
# SrLaS2Cl | Alexandria via LeMat-Bulk | PBEsol | relaxed
data_SrLaS2Cl
_chemical_formula_sum 'Sr1 La1 S2 Cl1'
_space_group_name_H-M_alt 'P 1'
_space_group_IT_number 1
_cell_length_a 5.077
_cell_length_b 5.383
_cell_length_c 5.383
_cell_angle_alpha 90.00
_cell_angle_beta 90.00
_cell_angle_gamma 90.00
loop_
_space_group_symop_operation_xyz
'x,y,z'
loop_
_atom_site_label
_atom_site_type_symbol
_atom_site_fract_x
_atom_site_fract_y
_atom_site_fract_z
Sr1 Sr 0.000 0.000 0.000
S1 S 0.000 0.000 0.500
S2 S 0.000 0.500 0.000
Cl1 Cl 0.500 0.000 0.000
La1 La 0.500 0.500 0.500
# Formation energy without anion corrections   -1282 meV per atom
# N(E_F)   0.31 states/eV/atom
# Spin magnetization   0.18 μB per cell

=====

(7)
# NdZnAsO | Alexandria via LeMat-Bulk | PBEsol | relaxed
data_NdZnAsO
_chemical_formula_sum 'Nd2 Zn2 As2 O2'
_space_group_name_H-M_alt 'P 1'
_space_group_IT_number 1
_cell_length_a 4.007
_cell_length_b 4.007
_cell_length_c 8.906
_cell_angle_alpha 90.00
_cell_angle_beta 90.00
_cell_angle_gamma 90.00
loop_
_space_group_symop_operation_xyz
'x,y,z'
loop_
_atom_site_label
_atom_site_type_symbol
_atom_site_fract_x
_atom_site_fract_y
_atom_site_fract_z
As1 As 0.000 0.500 0.323
As2 As 0.500 0.000 0.677
Nd1 Nd 0.500 0.000 0.132
Nd2 Nd 0.000 0.500 0.868
Zn1 Zn 0.500 0.500 0.500
Zn2 Zn 0.000 0.000 0.500
O1 O 0.500 0.500 0.000
O2 O 0.000 0.000 0.000
# Formation energy without anion corrections   -1806 meV per atom
# Spin magnetization   0.00 μB per cell

=====

(8)
# LiAlIr | Alexandria via LeMat-Bulk | PBEsol | relaxed
data_LiAlIr
_chemical_formula_sum 'Li1 Al1 Ir1'
_space_group_name_H-M_alt 'P 1'
_space_group_IT_number 1
_cell_length_a 3.071
_cell_length_b 3.071
_cell_length_c 4.618
_cell_angle_alpha 109.42
_cell_angle_beta 109.42
_cell_angle_gamma 90.00
loop_
_space_group_symop_operation_xyz
'x,y,z'
loop_
_atom_site_label
_atom_site_type_symbol
_atom_site_fract_x
_atom_site_fract_y
_atom_site_fract_z
Ir1 Ir 0.666 0.666 0.333
Al1 Al 0.006 0.006 0.012
Li1 Li 0.327 0.327 0.655
# N(E_F)   0.24 states/eV/atom
# Spin magnetization   0.00 μB per cell
# Formation energy   -0.515 eV per atom

=====

(9)
# KTa3P | Alexandria via LeMat-Bulk | PBEsol | relaxed
data_KTa3P
_chemical_formula_sum 'K1 Ta3 P1'
_space_group_name_H-M_alt 'P 1'
_space_group_IT_number 1
_cell_length_a 4.552
_cell_length_b 4.552
_cell_length_c 4.552
_cell_angle_alpha 90.00
_cell_angle_beta 90.00
_cell_angle_gamma 90.00
loop_
_space_group_symop_operation_xyz
'x,y,z'
loop_
_atom_site_label
_atom_site_type_symbol
_atom_site_fract_x
_atom_site_fract_y
_atom_site_fract_z
P1 P 0.500 0.500 0.500
K1 K 0.000 0.000 0.000
Ta1 Ta 0.000 0.500 0.000
Ta2 Ta 0.000 0.000 0.500
Ta3 Ta 0.500 0.000 0.000
# N(E_F)   0.81 states/eV/atom
# Spin magnetization   0.00 μB per cell
# Formation energy   3.044 eV per atom

=====

(10)
# RbNa2Ge2 | Alexandria via LeMat-Bulk | PBEsol | relaxed
data_RbNa2Ge2
_chemical_formula_sum 'Rb1 Na2 Ge2'
_space_group_name_H-M_alt 'P 1'
_space_group_IT_number 1
_cell_length_a 5.430
_cell_length_b 5.430
_cell_length_c 6.297
_cell_angle_alpha 115.54
_cell_angle_beta 115.54
_cell_angle_gamma 90.00
loop_
_space_group_symop_operation_xyz
'x,y,z'
loop_
_atom_site_label
_atom_site_type_symbol
_atom_site_fract_x
_atom_site_fract_y
_atom_site_fract_z
Na1 Na 0.250 0.750 0.500
Na2 Na 0.750 0.250 0.500
Ge1 Ge 0.385 0.385 0.770
Ge2 Ge 0.615 0.615 0.230
Rb1 Rb 0.000 0.000 0.000
# N(E_F)   0.31 states/eV/atom
# Spin magnetization   0.00 μB per cell
# Formation energy   -0.054 eV per atom